VASP calculation (PBE-GGA) on a geometry-optimized Nb3ZnGa structure.

Computed properties:
Energy of formation (eV per atom): -0.07
Raw total energy (eV for the cell shown): -278.70
E above lowest polymorph (eV per atom): 0.000

Cell lengths 14.021, 5.086, 9.761 Å; angles 90.00, 99.52, 90.00 degrees
Space group C2/c (No. 15)
Asymmetric unit:
Nb 0.052 0.246 0.008 [8 per cell]
Nb 0.096 0.473 0.762 [8 per cell]
Nb 0.199 0.034 0.259 [8 per cell]
Zn 0.155 0.257 0.514 [8 per cell]
Ga 0.000 0.025 0.250 [4 per cell]
Ga 0.250 0.250 0.000 [4 per cell]

---

VASP calculation (PBE-GGA) on a geometry-optimized TbNpSN2 structure.

Computed properties:
Raw total energy (eV for the cell shown): -90.57
Raw formation energy (eV/atom): -1.387

Cell lengths 3.765, 3.765, 11.977 Å; angles 90.00, 90.00, 90.00 degrees
Space group I4mm (No. 107)
Asymmetric unit:
Tb 0.000 0.000 0.000 [2 per cell]
Np 0.000 0.000 0.307 [2 per cell]
S 0.000 0.000 0.649 [2 per cell]
N 0.000 0.500 0.391 [4 per cell]

---

VASP calculation (PBE-GGA) on a geometry-optimized Ca4CdIr structure.

Computed properties:
Energy of formation (eV per atom): -0.33
Raw total energy (eV for the cell shown): -79.07
E above lowest polymorph (eV per atom): 0.000

Cell lengths 9.122, 13.625, 6.244 Å; angles 90.00, 111.35, 90.00 degrees
Space group C2/c (No. 15)
Asymmetric unit:
Ca 0.108 0.167 0.059 [8 per cell]
Ca 0.222 0.427 0.356 [8 per cell]
Cd 0.000 0.372 0.750 [4 per cell]
Ir 0.000 0.000 0.250 [4 per cell]

---

VASP calculation (PBE-GGA) on a geometry-optimized Dy2Mg3In4 structure.

Computed properties:
Energy of formation (eV per atom): -0.25
Raw total energy (eV for the cell shown): -108.81

Cell lengths 6.324, 16.979, 8.323 Å; angles 90.00, 90.00, 90.00 degrees
Space group Cmce (No. 64)
Asymmetric unit:
Dy 0.000 0.100 0.101 [8 per cell]
Mg 0.000 0.000 0.500 [4 per cell]
Mg 0.250 0.235 0.750 [8 per cell]
In 0.000 0.170 0.474 [8 per cell]
In 0.250 0.062 0.750 [8 per cell]

---

VASP calculation (PBE-GGA) on a geometry-optimized ThNi9Ge2 structure.

Computed properties:
Energy of formation (eV per atom): -0.22
Raw total energy (eV for the cell shown): -213.87

Cell lengths 4.8936, 4.8936, 23.0933 Å; angles 90.00, 90.00, 120.00 degrees
Space group R-3m (No. 166, hexagonal axes)
Asymmetric unit:
Th 0.0000 0.0000 0.0000 [3 per cell]
Ni 0.0000 0.0000 0.3341 [6 per cell]
Ni 0.0000 0.0000 0.5000 [3 per cell]
Ni 0.0061 0.5031 0.9119 [18 per cell]
Ge 0.0000 0.0000 0.1415 [6 per cell]

---

VASP calculation (PBE-GGA) on a geometry-optimized Li2LaSe structure.

Computed properties:
Raw total energy (eV for the cell shown): -31.24
Raw formation energy (eV/atom): -0.846

Cell lengths 4.203, 4.203, 12.421 Å; angles 90.00, 90.00, 90.00 degrees
Space group I4/mmm (No. 139)
Asymmetric unit:
Li 0.000 0.000 0.203 [4 per cell]
La 0.000 0.000 0.500 [2 per cell]
Se 0.000 0.000 0.000 [2 per cell]

---

VASP calculation (PBE-GGA) on a geometry-optimized SrZr2Mn structure.

Computed properties:
Energy of formation (eV per atom): 0.89
Raw total energy (eV for the cell shown): -195.21
E above lowest polymorph (eV per atom): 0.573

Cell lengths 10.325, 10.325, 10.325 Å; angles 90.00, 90.00, 90.00 degrees
Space group Fd-3m (No. 227, origin choice 2)
Asymmetric unit:
Sr 0.125 0.125 0.125 [8 per cell]
Zr 0.000 0.000 0.500 [16 per cell]
Mn 0.125 0.125 0.625 [8 per cell]

---

VASP calculation (PBE-GGA) on a geometry-optimized CePmTh structure.

Computed properties:
Energy of formation (eV per atom): 0.05
Raw total energy (eV for the cell shown): -35.91
E above lowest polymorph (eV per atom): 0.000

Cell lengths 3.537, 6.132, 9.427 Å; angles 96.09, 100.77, 106.74 degrees
Space group P-1 (No. 2)
Asymmetric unit:
Ce 0.238 0.243 0.234 [2 per cell]
Pm 0.076 0.744 0.410 [2 per cell]
Th 0.415 0.749 0.081 [2 per cell]

---

VASP calculation (PBE-GGA) on a geometry-optimized Na2LaAg structure.

Computed properties:
Energy of formation (eV per atom): 0.26
Raw total energy (eV for the cell shown): -37.48
E above lowest polymorph (eV per atom): 0.117

Cell lengths 7.662, 7.662, 7.662 Å; angles 90.00, 90.00, 90.00 degrees
Space group Fm-3m (No. 225)
Asymmetric unit:
Na 0.250 0.250 0.250 [8 per cell]
La 0.000 0.000 0.000 [4 per cell]
Ag 0.000 0.000 0.500 [4 per cell]

---

VASP calculation (PBE-GGA) on a geometry-optimized Er6Pb2C structure.

Computed properties:
Energy of formation (eV per atom): -0.33
Raw total energy (eV for the cell shown): -93.96
E above lowest polymorph (eV per atom): 0.074

Cell lengths 6.451, 7.899, 11.484 Å; angles 90.00, 122.82, 90.00 degrees
Space group P2_1/c (No. 14)
Asymmetric unit:
Er 0.140 0.159 0.459 [4 per cell]
Er 0.306 0.719 0.459 [4 per cell]
Er 0.345 0.025 0.253 [4 per cell]
Pb 0.194 0.099 0.763 [4 per cell]
C 0.500 0.000 0.500 [2 per cell]

---

VASP calculation (PBE-GGA) on a geometry-optimized Nd3Al4Au4 structure.

Computed properties:
Energy of formation (eV per atom): -0.68
Raw total energy (eV for the cell shown): -99.75

Cell lengths 4.194, 4.516, 26.122 Å; angles 90.00, 90.00, 90.00 degrees
Space group Immm (No. 71)
Asymmetric unit:
Nd 0.000 0.000 0.000 [2 per cell]
Nd 0.000 0.500 0.149 [4 per cell]
Al 0.000 0.000 0.450 [4 per cell]
Al 0.000 0.500 0.305 [4 per cell]
Au 0.000 0.000 0.252 [4 per cell]
Au 0.000 0.500 0.403 [4 per cell]

---

VASP calculation (PBE-GGA) on a geometry-optimized AcAl2CdPd5 structure.

Computed properties:
Energy of formation (eV per atom): -0.53
Raw total energy (eV for the cell shown): -43.21

Cell lengths 4.785, 4.785, 7.628 Å; angles 90.00, 90.00, 90.00 degrees
Space group P4/mmm (No. 123)
Asymmetric unit:
Ac 0.000 0.000 0.000 [1 per cell]
Al 0.500 0.500 0.330 [2 per cell]
Cd 0.000 0.000 0.500 [1 per cell]
Pd 0.000 0.500 0.280 [4 per cell]
Pd 0.500 0.500 0.000 [1 per cell]

---

VASP calculation (PBE-GGA) on a geometry-optimized AlTe2Pt structure.

Computed properties:
Raw total energy (eV for the cell shown): -30.68
Raw formation energy (eV/atom): 0.182

Cell lengths 3.880, 3.880, 13.192 Å; angles 90.00, 90.00, 90.00 degrees
Space group I-4m2 (No. 119)
Asymmetric unit:
Al 0.000 0.000 0.000 [2 per cell]
Te 0.000 0.000 0.500 [2 per cell]
Te 0.000 0.500 0.250 [2 per cell]
Pt 0.000 0.500 0.750 [2 per cell]

---

VASP calculation (PBE-GGA) on a geometry-optimized In2IrF structure.

Computed properties:
Raw total energy (eV for the cell shown): -73.28
E above lowest polymorph (eV per atom): 0.011
Raw formation energy (eV/atom): -0.528

Cell lengths 6.660, 6.660, 6.722 Å; angles 90.00, 90.00, 90.00 degrees
Space group I-42d (No. 122)
Asymmetric unit:
In 0.216 0.250 0.125 [8 per cell]
Ir 0.000 0.000 0.500 [4 per cell]
F 0.000 0.000 0.000 [4 per cell]

---

VASP calculation (PBE-GGA) on a geometry-optimized Ge2Se structure.

Computed properties:
Raw total energy (eV for the cell shown): -51.40
E above lowest polymorph (eV per atom): 0.010
Raw formation energy (eV/atom): -0.043

Cell lengths 4.194, 10.372, 6.946 Å; angles 90.00, 91.34, 90.00 degrees
Space group Cc (No. 9)
Asymmetric unit:
Ge 0.000 0.164 0.000 [4 per cell]
Ge 0.005 0.234 0.641 [4 per cell]
Se 0.358 0.442 0.920 [4 per cell]

---

VASP calculation (PBE-GGA) on a geometry-optimized CaZr2F2 structure.

Computed properties:
Raw total energy (eV for the cell shown): -53.39
E above lowest polymorph (eV per atom): 0.283
Raw formation energy (eV/atom): -0.771

Cell lengths 9.449, 9.449, 2.890 Å; angles 90.00, 90.00, 90.00 degrees
Space group P4/mbm (No. 127)
Asymmetric unit:
Ca 0.000 0.000 0.000 [2 per cell]
Zr 0.217 0.283 0.000 [4 per cell]
F 0.096 0.404 0.500 [4 per cell]

---

VASP calculation (PBE-GGA) on a geometry-optimized B5C7 structure.

Computed properties:
Energy of formation (eV per atom): 0.40
Raw total energy (eV for the cell shown): -93.10
E above lowest polymorph (eV per atom): 0.147

Cell lengths 4.035, 2.549, 7.639 Å; angles 90.00, 90.73, 90.00 degrees
Space group Pm (No. 6)
Asymmetric unit:
B 0.000 0.000 0.000 [1 per cell]
B 0.030 0.000 0.314 [1 per cell]
B 0.435 0.500 0.504 [1 per cell]
B 0.701 0.000 0.177 [1 per cell]
B 0.756 0.000 0.500 [1 per cell]
C 0.220 0.500 0.678 [1 per cell]
C 0.255 0.500 0.322 [1 per cell]
C 0.268 0.500 0.997 [1 per cell]
C 0.462 0.500 0.163 [1 per cell]
C 0.490 0.500 0.834 [1 per cell]
C 0.719 0.000 0.834 [1 per cell]
C 0.997 0.000 0.678 [1 per cell]

---

VASP calculation (PBE-GGA) on a geometry-optimized HgPH structure.

Computed properties:
Raw total energy (eV for the cell shown): -32.72
E above lowest polymorph (eV per atom): 0.275

Cell lengths 9.899, 3.404, 6.816 Å; angles 90.00, 103.83, 90.00 degrees
Space group C2/m (No. 12)
Asymmetric unit:
Hg 0.072 0.000 0.320 [4 per cell]
P 0.178 0.000 0.989 [4 per cell]
H 0.112 0.500 0.421 [4 per cell]

---

VASP calculation (PBE-GGA) on a geometry-optimized Dy4Cd3Ga structure.

Computed properties:
Energy of formation (eV per atom): -0.38
Raw total energy (eV for the cell shown): -27.26

Cell lengths 3.676, 3.676, 14.984 Å; angles 90.00, 90.00, 90.00 degrees
Space group P4/mmm (No. 123)
Asymmetric unit:
Dy 0.000 0.000 0.115 [2 per cell]
Dy 0.000 0.000 0.372 [2 per cell]
Cd 0.500 0.500 0.245 [2 per cell]
Cd 0.500 0.500 0.500 [1 per cell]
Ga 0.500 0.500 0.000 [1 per cell]

---

VASP calculation (PBE-GGA) on a geometry-optimized TcAg2Au structure.

Computed properties:
Energy of formation (eV per atom): 0.35
Raw total energy (eV for the cell shown): -35.91
E above lowest polymorph (eV per atom): 0.055

Cell lengths 2.921, 4.688, 9.991 Å; angles 90.00, 90.00, 90.00 degrees
Space group Cmmm (No. 65)
Asymmetric unit:
Tc 0.000 0.000 0.000 [2 per cell]
Ag 0.000 0.500 0.244 [4 per cell]
Au 0.000 0.000 0.500 [2 per cell]